This record from Alexandria describes Pr3Nd2Er6Pb after structural relaxation. The functional is PBE.

Cell and atoms, written as CIF:
```
data_Pr3Nd2Er6Pb
_cell_length_a 6.1657
_cell_length_b 10.6738
_cell_length_c 11.7810
_cell_angle_alpha 90.00
_cell_angle_beta 100.08
_cell_angle_gamma 90.00
_symmetry_space_group_name_H-M 'C 1 2/m 1'
_symmetry_Int_Tables_number 12
_symmetry_space_group_name_Hall '-C 2y'
loop_
_atom_site_label
_atom_site_fract_x
_atom_site_fract_y
_atom_site_fract_z
Pr1 0.0000 0.0000 0.0000
Pr2 0.0000 0.3323 0.0000
Nd1 0.0000 0.1663 0.5000
Er1 0.2445 0.5000 0.2531
Er2 0.2449 0.3367 0.7463
Pb1 0.0000 0.5000 0.5000
```



This record from Alexandria describes NdErRhPb after structural relaxation. The functional is PBE.

Cell and atoms, written as CIF:
```
data_NdErRhPb
_cell_length_a 7.3727
_cell_length_b 7.3727
_cell_length_c 7.3727
_cell_angle_alpha 90.00
_cell_angle_beta 90.00
_cell_angle_gamma 90.00
_symmetry_space_group_name_H-M 'F -4 3 m'
_symmetry_Int_Tables_number 216
_symmetry_space_group_name_Hall 'F -4 2 3'
loop_
_atom_site_label
_atom_site_fract_x
_atom_site_fract_y
_atom_site_fract_z
Nd1 0.0000 0.0000 0.0000
Er1 0.0000 0.0000 0.5000
Rh1 0.2500 0.2500 0.2500
Pb1 0.2500 0.2500 0.7500
```



This record from Alexandria describes Nd2Sm3Er6Pb after structural relaxation. The functional is PBE.

Cell and atoms, written as CIF:
```
data_Nd2Sm3Er6Pb
_cell_length_a 6.1211
_cell_length_b 10.6035
_cell_length_c 11.7393
_cell_angle_alpha 90.00
_cell_angle_beta 100.07
_cell_angle_gamma 90.00
_symmetry_space_group_name_H-M 'C 1 2/m 1'
_symmetry_Int_Tables_number 12
_symmetry_space_group_name_Hall '-C 2y'
loop_
_atom_site_label
_atom_site_fract_x
_atom_site_fract_y
_atom_site_fract_z
Nd1 0.0000 0.1662 0.0000
Sm1 0.0000 0.0000 0.5000
Sm2 0.0000 0.3325 0.5000
Er1 0.2454 0.3365 0.2484
Er2 0.2445 0.5000 0.7507
Pb1 0.0000 0.5000 0.0000
```



This record from Alexandria describes Nd3Er6Tm2Pb after structural relaxation. The functional is PBE.

Cell and atoms, written as CIF:
```
data_Nd3Er6Tm2Pb
_cell_length_a 6.1315
_cell_length_b 10.6137
_cell_length_c 11.5871
_cell_angle_alpha 90.00
_cell_angle_beta 100.19
_cell_angle_gamma 90.00
_symmetry_space_group_name_H-M 'C 1 2/m 1'
_symmetry_Int_Tables_number 12
_symmetry_space_group_name_Hall '-C 2y'
loop_
_atom_site_label
_atom_site_fract_x
_atom_site_fract_y
_atom_site_fract_z
Nd1 0.0000 0.0000 0.0000
Nd2 0.0000 0.3329 0.0000
Er1 0.2444 0.3356 0.7432
Er2 0.2483 0.5000 0.2556
Tm1 0.0000 0.1658 0.5000
Pb1 0.0000 0.5000 0.5000
```



This record from Alexandria describes Nd2Er3Tm6Pb after structural relaxation. The functional is PBE.

Cell and atoms, written as CIF:
```
data_Nd2Er3Tm6Pb
_cell_length_a 6.0453
_cell_length_b 10.4764
_cell_length_c 11.6527
_cell_angle_alpha 90.00
_cell_angle_beta 100.01
_cell_angle_gamma 90.00
_symmetry_space_group_name_H-M 'C 1 2/m 1'
_symmetry_Int_Tables_number 12
_symmetry_space_group_name_Hall '-C 2y'
loop_
_atom_site_label
_atom_site_fract_x
_atom_site_fract_y
_atom_site_fract_z
Nd1 0.0000 0.1662 0.0000
Er1 0.0000 0.0000 0.5000
Er2 0.0000 0.3328 0.5000
Tm1 0.2442 0.5000 0.7472
Tm2 0.2471 0.3360 0.2518
Pb1 0.0000 0.5000 0.0000
```



This record from Alexandria describes Nd3Er2Tm6Pb after structural relaxation. The functional is PBE.

Cell and atoms, written as CIF:
```
data_Nd3Er2Tm6Pb
_cell_length_a 6.1132
_cell_length_b 10.5800
_cell_length_c 11.5782
_cell_angle_alpha 90.00
_cell_angle_beta 100.16
_cell_angle_gamma 90.00
_symmetry_space_group_name_H-M 'C 1 2/m 1'
_symmetry_Int_Tables_number 12
_symmetry_space_group_name_Hall '-C 2y'
loop_
_atom_site_label
_atom_site_fract_x
_atom_site_fract_y
_atom_site_fract_z
Nd1 0.0000 0.0000 0.0000
Nd2 0.0000 0.3331 0.0000
Er1 0.0000 0.1659 0.5000
Tm1 0.2445 0.3356 0.7438
Tm2 0.2483 0.5000 0.2553
Pb1 0.0000 0.5000 0.5000
```



This record from Alexandria describes Nd2Er6Tm3Pb after structural relaxation. The functional is PBE.

Cell and atoms, written as CIF:
```
data_Nd2Er6Tm3Pb
_cell_length_a 6.0545
_cell_length_b 10.4918
_cell_length_c 11.6797
_cell_angle_alpha 90.00
_cell_angle_beta 99.99
_cell_angle_gamma 90.00
_symmetry_space_group_name_H-M 'C 1 2/m 1'
_symmetry_Int_Tables_number 12
_symmetry_space_group_name_Hall '-C 2y'
loop_
_atom_site_label
_atom_site_fract_x
_atom_site_fract_y
_atom_site_fract_z
Nd1 0.0000 0.1661 0.0000
Er1 0.2439 0.5000 0.7465
Er2 0.2472 0.3361 0.2525
Tm1 0.0000 0.0000 0.5000
Tm2 0.0000 0.3328 0.5000
Pb1 0.0000 0.5000 0.0000
```



This record from Alexandria describes NdEr5Pd2 after structural relaxation. The functional is PBE.

Cell and atoms, written as CIF:
```
data_NdEr5Pd2
_cell_length_a 3.8168
_cell_length_b 12.8666
_cell_length_c 17.9361
_cell_angle_alpha 90.00
_cell_angle_beta 90.00
_cell_angle_gamma 90.00
_symmetry_space_group_name_H-M 'C m c m'
_symmetry_Int_Tables_number 63
_symmetry_space_group_name_Hall '-C 2c 2'
loop_
_atom_site_label
_atom_site_fract_x
_atom_site_fract_y
_atom_site_fract_z
Nd1 0.0000 0.1500 0.2500
Er1 0.0000 0.1140 0.7500
Er2 0.0000 0.1550 0.0427
Er3 0.0000 0.4475 0.1010
Pd1 0.0000 0.2389 0.6243
```



This record from Alexandria describes Nd2Er3Pd2 after structural relaxation. The functional is PBE.

Cell and atoms, written as CIF:
```
data_Nd2Er3Pd2
_cell_length_a 12.6215
_cell_length_b 3.7184
_cell_length_c 9.1356
_cell_angle_alpha 90.00
_cell_angle_beta 117.95
_cell_angle_gamma 90.00
_symmetry_space_group_name_H-M 'C 1 2/m 1'
_symmetry_Int_Tables_number 12
_symmetry_space_group_name_Hall '-C 2y'
loop_
_atom_site_label
_atom_site_fract_x
_atom_site_fract_y
_atom_site_fract_z
Nd1 0.1541 0.0000 0.3133
Er1 0.0000 0.5000 0.5000
Er2 0.1155 0.5000 0.9421
Pd1 0.1637 0.0000 0.7405
```



This record from Alexandria describes Nd2ErPd3 after structural relaxation. The functional is PBE.

Cell and atoms, written as CIF:
```
data_Nd2ErPd3
_cell_length_a 13.0941
_cell_length_b 5.8812
_cell_length_c 8.3413
_cell_angle_alpha 90.00
_cell_angle_beta 108.59
_cell_angle_gamma 90.00
_symmetry_space_group_name_H-M 'C 1 2/c 1'
_symmetry_Int_Tables_number 15
_symmetry_space_group_name_Hall '-C 2yc'
loop_
_atom_site_label
_atom_site_fract_x
_atom_site_fract_y
_atom_site_fract_z
Nd1 0.1683 0.0019 0.0842
Er1 0.0000 0.4897 0.2500
Pd1 0.0000 0.0106 0.7500
Pd2 0.1577 0.4981 0.5788
```



This record from Alexandria describes NdEr4Pd4 after structural relaxation. The functional is PBE.

Cell and atoms, written as CIF:
```
data_NdEr4Pd4
_cell_length_a 9.0625
_cell_length_b 9.0625
_cell_length_c 5.7140
_cell_angle_alpha 90.00
_cell_angle_beta 90.00
_cell_angle_gamma 90.00
_symmetry_space_group_name_H-M 'P 42/n'
_symmetry_Int_Tables_number 86
loop_
_symmetry_equiv_pos_as_xyz
'x,y,z'
'-x,-y,-z'
'-y,x+1/2,z+1/2'
'y,-x+1/2,-z+1/2'
'-x+1/2,-y+1/2,z'
'x+1/2,y+1/2,-z'
'y+1/2,-x,z+1/2'
'-y+1/2,x,-z+1/2'
loop_
_atom_site_label
_atom_site_fract_x
_atom_site_fract_y
_atom_site_fract_z
Nd1 0.2500 0.2500 0.2500
Er1 0.0795 0.6527 0.1637
Pd1 0.0402 0.6202 0.6621
```



This record from Alexandria describes NdEr3Pd12 after structural relaxation. The functional is PBE.

Cell and atoms, written as CIF:
```
data_NdEr3Pd12
_cell_length_a 4.1252
_cell_length_b 4.1252
_cell_length_c 16.5495
_cell_angle_alpha 90.00
_cell_angle_beta 90.00
_cell_angle_gamma 90.00
_symmetry_space_group_name_H-M 'P 4/m m m'
_symmetry_Int_Tables_number 123
_symmetry_space_group_name_Hall '-P 4 2'
loop_
_atom_site_label
_atom_site_fract_x
_atom_site_fract_y
_atom_site_fract_z
Nd1 0.0000 0.0000 0.0000
Er1 0.0000 0.0000 0.2538
Er2 0.0000 0.0000 0.5000
Pd1 0.0000 0.5000 0.1303
Pd2 0.0000 0.5000 0.3765
Pd3 0.5000 0.5000 0.0000
Pd4 0.5000 0.5000 0.2529
Pd5 0.5000 0.5000 0.5000
```



Number 1: total energy -0.171 Ha/atom. Number 2: total energy -0.205 Ha/atom. Number 3: total energy -0.170 Ha/atom. Number 4: total energy -0.168 Ha/atom. Number 5: total energy -0.167 Ha/atom. Number 6: total energy -0.167 Ha/atom. Number 7: total energy -0.168 Ha/atom. Number 8: total energy -0.188 Ha/atom. Number 9: total energy -0.196 Ha/atom. Number 10: total energy -0.207 Ha/atom. Number 11: total energy -0.204 Ha/atom. Number 12: total energy -0.217 Ha/atom.